[1]
Here is crystalline CeGaTcH6 at its relaxed geometry from Alexandria. Energies are from PBE.

a b c (Å): 4.5130 4.5130 4.5725
angles (deg): 90.00 90.00 120.00
Space group P-6m2 (No. 187)
One atom of each set of equivalent atoms:
Ce (0.0000, 0.0000, 0.0000)
Ga (0.3333, 0.6667, 0.5000)
Tc (0.6667, 0.3333, 0.5000)
H (0.5134, 0.0268, 0.2107)

Magnetization, μB per atom: 0.059
Calculated total energy, Ry per atom: -0.33641

---

[2]
Here is crystalline CeHfGa2 at its relaxed geometry from Alexandria. Energies are from PBE.

a b c (Å): 6.972 6.972 6.972
angles (deg): 90.00 90.00 90.00
Space group Fm-3m (No. 225)
One atom of each set of equivalent atoms:
Ce (0.000, 0.000, 0.000)
Hf (0.000, 0.000, 0.500)
Ga (0.250, 0.250, 0.250)

Magnetization, μB per atom: 0.236
ΔE_f, eV/f.u.: -1.375
Distance to the lowest polymorph of the same formula, meV/atom: 108

---

[3]
Here is crystalline CeHfGa6 at its relaxed geometry from Alexandria. Energies are from PBE.

a b c (Å): 4.234 4.234 8.376
angles (deg): 90.00 90.00 90.00
Space group P4/mmm (No. 123)
One atom of each set of equivalent atoms:
Ce (0.000, 0.000, 0.000)
Hf (0.000, 0.000, 0.500)
Ga (0.000, 0.500, 0.261)
Ga (0.500, 0.500, 0.000)
Ga (0.500, 0.500, 0.500)

Magnetization, μB per atom: 0.000
ΔE_f, eV/f.u.: -3.641

---

[4]
Here is crystalline CeHf2Ga at its relaxed geometry from Alexandria. Energies are from PBE.

a b c (Å): 4.520 4.520 4.219
angles (deg): 90.00 90.00 90.00
Space group P4/mmm (No. 123)
One atom of each set of equivalent atoms:
Ce (0.000, 0.000, 0.000)
Hf (0.000, 0.500, 0.500)
Ga (0.500, 0.500, 0.000)

Magnetization, μB per atom: 0.000
ΔE_f, eV/f.u.: -0.562
Distance to the lowest polymorph of the same formula, meV/atom: 0

---

[5]
Here is crystalline Ce2HfGa4 at its relaxed geometry from Alexandria. Energies are from PBE.

a b c (Å): 5.230 13.897 5.042
angles (deg): 90.00 90.00 90.00
Space group Cmmm (No. 65)
One atom of each set of equivalent atoms:
Ce (0.000, 0.197, 0.000)
Hf (0.000, 0.500, 0.500)
Ga (0.000, 0.089, 0.500)
Ga (0.000, 0.410, 0.000)

Magnetization, μB per atom: 0.309
ΔE_f, eV/f.u.: 0.738

---

[6]
Here is crystalline CeHfGa2 at its relaxed geometry from Alexandria. Energies are from PBE.

a b c (Å): 3.1518 3.1518 29.3046
angles (deg): 90.00 90.00 120.00
Space group R-3m (No. 166, hexagonal axes)
One atom of each set of equivalent atoms:
Ce (0.0000, 0.0000, 0.0000)
Hf (0.0000, 0.0000, 0.5000)
Ga (0.0000, 0.0000, 0.2447)

Magnetization, μB per atom: 0.001
ΔE_f, eV/f.u.: -0.985
Distance to the lowest polymorph of the same formula, meV/atom: 205

---

[7]
Here is crystalline Ce2HfGa3 at its relaxed geometry from Alexandria. Energies are from PBE.

a b c (Å): 5.9791 5.9791 8.4562
angles (deg): 90.00 90.00 120.00
Space group P6_3/mmc (No. 194)
One atom of each set of equivalent atoms:
Ce (0.3333, 0.6667, 0.0792)
Hf (0.0000, 0.0000, 0.0000)
Ga (0.1818, 0.3636, 0.7500)

Magnetization, μB per atom: 0.297
ΔE_f, eV/f.u.: -2.884

---

[8]
Here is crystalline CeHfGa2 at its relaxed geometry from Alexandria. Energies are from PBE.

a b c (Å): 8.066 4.067 10.964
angles (deg): 90.00 90.00 90.00
Space group Pnma (No. 62)
One atom of each set of equivalent atoms:
Ce (0.152, 0.250, 0.148)
Hf (0.016, 0.750, 0.395)
Ga (0.143, 0.250, 0.825)
Ga (0.244, 0.750, 0.948)

Magnetization, μB per atom: 0.240
ΔE_f, eV/f.u.: -1.624
Distance to the lowest polymorph of the same formula, meV/atom: 46

---

[9]
Here is crystalline CeHfGa2 at its relaxed geometry from Alexandria. Energies are from PBE.

a b c (Å): 4.484 4.484 4.179
angles (deg): 90.00 90.00 90.00
Space group P4/mmm (No. 123)
One atom of each set of equivalent atoms:
Ce (0.000, 0.000, 0.000)
Hf (0.500, 0.500, 0.000)
Ga (0.000, 0.500, 0.500)

Magnetization, μB per atom: 0.000
ΔE_f, eV/f.u.: -1.233
Distance to the lowest polymorph of the same formula, meV/atom: 144

---

[10]
Here is crystalline CeHfGa at its relaxed geometry from Alexandria. Energies are from PBE.

a b c (Å): 3.124 3.124 13.613
angles (deg): 90.00 90.00 90.00
Space group I4mm (No. 107)
One atom of each set of equivalent atoms:
Ce (0.000, 0.000, 0.000)
Hf (0.000, 0.000, 0.694)
Ga (0.000, 0.000, 0.334)

Magnetization, μB per atom: 0.068
ΔE_f, eV/f.u.: -0.659
Distance to the lowest polymorph of the same formula, meV/atom: 56

---

[11]
Here is crystalline CeHfGa4 at its relaxed geometry from Alexandria. Energies are from PBE.

a b c (Å): 7.697 7.697 7.697
angles (deg): 90.00 90.00 90.00
Space group F-43m (No. 216)
One atom of each set of equivalent atoms:
Ce (0.000, 0.000, 0.000)
Hf (0.250, 0.250, 0.750)
Ga (0.125, 0.125, 0.375)

Magnetization, μB per atom: 0.125
ΔE_f, eV/f.u.: -2.123
Distance to the lowest polymorph of the same formula, meV/atom: 61

---

[12]
Here is crystalline CeHfGa at its relaxed geometry from Alexandria. Energies are from PBE.

a b c (Å): 5.206 5.126 9.682
angles (deg): 90.00 92.56 90.00
Space group C2/m (No. 12)
One atom of each set of equivalent atoms:
Ce (0.213, 0.000, 0.083)
Hf (0.242, 0.000, 0.412)
Ga (0.230, 0.500, 0.276)

Magnetization, μB per atom: 0.001
ΔE_f, eV/f.u.: -0.828
Distance to the lowest polymorph of the same formula, meV/atom: 0